Entry w
The following is a DFT calculation (PBE) of Na2CaPO4F after structural relaxation.

Structure (POSCAR):
```
Na2CaPO4F
1.0
6.208 -3.542 0.000
6.208 3.542 0.000
-4.351 0.000 13.642
Na Ca P O F
10 5 5 20 5
direct
0.033 0.543 0.800 Na
0.123 0.631 0.607 Na
0.235 0.765 0.000 Na
0.402 0.898 0.412 Na
0.489 0.989 0.211 Na
0.543 0.033 0.800 Na
0.631 0.123 0.607 Na
0.765 0.235 0.000 Na
0.898 0.402 0.412 Na
0.989 0.489 0.211 Na
0.024 0.024 0.812 Ca
0.500 0.500 0.203 Ca
0.644 0.644 0.606 Ca
0.771 0.771 0.003 Ca
0.877 0.877 0.407 Ca
0.121 0.121 0.597 P
0.252 0.252 0.989 P
0.395 0.395 0.396 P
0.531 0.531 0.794 P
0.990 0.990 0.210 P
0.015 0.376 0.628 O
0.025 0.025 0.645 O
0.070 0.070 0.482 O
0.133 0.133 0.003 O
0.144 0.498 0.040 O
0.165 0.524 0.429 O
0.233 0.233 0.876 O
0.243 0.879 0.246 O
0.303 0.663 0.829 O
0.364 0.364 0.281 O
0.376 0.015 0.628 O
0.498 0.144 0.040 O
0.499 0.499 0.679 O
0.524 0.165 0.429 O
0.526 0.526 0.441 O
0.663 0.303 0.829 O
0.663 0.663 0.837 O
0.879 0.243 0.246 O
0.883 0.883 0.245 O
0.955 0.955 0.097 O
0.613 0.613 0.082 F
0.688 0.688 0.301 F
0.765 0.765 0.509 F
0.832 0.832 0.709 F
0.891 0.891 0.904 F
```

Output
density of states at the Fermi level	0.00	states/eV per atom
theoretical density	2.8	Mg/m³



Entry x
The following is a DFT calculation (PBE) of Na2CaPO4F after structural relaxation.

Structure (POSCAR):
```
Na2CaPO4F
1.0
13.439 0.000 0.000
0.000 7.161 0.000
-4.320 0.000 9.899
Na Ca P O F
16 8 8 32 8
direct
0.087 0.225 0.177 Na
0.087 0.275 0.677 Na
0.169 0.020 0.932 Na
0.169 0.480 0.432 Na
0.337 0.021 0.793 Na
0.337 0.479 0.293 Na
0.411 0.249 0.087 Na
0.411 0.251 0.587 Na
0.589 0.749 0.413 Na
0.589 0.751 0.913 Na
0.663 0.521 0.707 Na
0.663 0.979 0.207 Na
0.831 0.520 0.568 Na
0.831 0.980 0.068 Na
0.913 0.725 0.323 Na
0.913 0.775 0.823 Na
0.169 0.012 0.473 Ca
0.169 0.488 0.973 Ca
0.326 0.007 0.275 Ca
0.326 0.493 0.775 Ca
0.674 0.507 0.225 Ca
0.674 0.993 0.725 Ca
0.831 0.512 0.027 Ca
0.831 0.988 0.527 Ca
0.087 0.740 0.147 P
0.087 0.760 0.647 P
0.416 0.743 0.063 P
0.416 0.757 0.563 P
0.584 0.243 0.437 P
0.584 0.257 0.937 P
0.913 0.240 0.353 P
0.913 0.260 0.853 P
0.031 0.230 0.363 O
0.031 0.270 0.863 O
0.087 0.725 0.503 O
0.087 0.775 0.003 O
0.146 0.549 0.196 O
0.146 0.951 0.696 O
0.150 0.601 0.746 O
0.150 0.899 0.246 O
0.352 0.570 0.080 O
0.352 0.930 0.580 O
0.361 0.575 0.583 O
0.361 0.925 0.083 O
0.415 0.742 0.917 O
0.415 0.758 0.417 O
0.465 0.233 0.331 O
0.465 0.267 0.831 O
0.535 0.733 0.169 O
0.535 0.767 0.669 O
0.585 0.242 0.583 O
0.585 0.258 0.083 O
0.639 0.075 0.917 O
0.639 0.425 0.417 O
0.648 0.070 0.420 O
0.648 0.430 0.920 O
0.850 0.101 0.754 O
0.850 0.399 0.254 O
0.854 0.049 0.304 O
0.854 0.451 0.804 O
0.913 0.225 0.997 O
0.913 0.275 0.497 O
0.969 0.730 0.137 O
0.969 0.770 0.637 O
0.234 0.229 0.115 F
0.234 0.271 0.615 F
0.260 0.224 0.380 F
0.260 0.276 0.880 F
0.740 0.724 0.120 F
0.740 0.776 0.620 F
0.766 0.729 0.385 F
0.766 0.771 0.885 F
```

Output
density of states at the Fermi level	0.00	states/eV per atom
theoretical density	2.8	Mg/m³



entry x wins, 25 meV per atom ahead of the next structure.



Entry w
The following is a DFT calculation (PBE) of Na2Ca5TiSi4O16F2 after structural relaxation.

Structure (POSCAR):
```
Na2Ca5TiSi4O16F2
1.0
5.810 0.000 0.000
-0.004 7.427 0.000
-2.003 -1.866 9.399
Na Ca Ti Si O F
2 5 1 4 16 2
direct
0.000 0.000 0.000 Na
0.207 0.908 0.647 Na
0.012 0.495 0.001 Ca
0.394 0.826 0.286 Ca
0.407 0.323 0.286 Ca
0.703 0.647 0.635 Ca
0.716 0.176 0.663 Ca
0.205 0.409 0.639 Ti
0.465 0.197 0.921 Si
0.469 0.761 0.930 Si
0.941 0.061 0.357 Si
0.944 0.629 0.366 Si
0.003 0.197 0.516 O
0.041 0.583 0.527 O
0.107 0.547 0.255 O
0.126 0.085 0.258 O
0.306 0.731 0.040 O
0.320 0.290 0.038 O
0.356 0.232 0.759 O
0.394 0.633 0.769 O
0.425 0.971 0.899 O
0.454 0.377 0.543 O
0.662 0.072 0.292 O
0.662 0.585 0.329 O
0.744 0.248 0.944 O
0.748 0.732 0.985 O
0.957 0.446 0.749 O
0.999 0.855 0.399 O
0.510 0.894 0.535 F
0.895 0.926 0.746 F
```

Output
density of states at the Fermi level	0.48	states/eV per atom
theoretical density	2.9	Mg/m³



Entry x
The following is a DFT calculation (PBE) of Na2Ca5TiSi4O16F2 after structural relaxation.

Structure (POSCAR):
```
Na2Ca5TiSi4O16F2
1.0
5.768 0.000 0.000
-0.025 7.442 0.000
-1.981 -1.857 9.428
Na Ca Ti Si O F
2 5 1 4 16 2
direct
0.000 0.000 0.000 Na
0.499 0.231 0.995 Na
0.282 0.829 0.356 Ca
0.294 0.331 0.350 Ca
0.701 0.148 0.635 Ca
0.706 0.650 0.627 Ca
0.992 0.499 0.989 Ca
0.481 0.752 0.008 Ti
0.245 0.956 0.718 Si
0.247 0.387 0.707 Si
0.749 0.525 0.273 Si
0.756 0.092 0.279 Si
0.029 0.574 0.336 O
0.036 0.079 0.344 O
0.243 0.756 0.102 O
0.293 0.183 0.751 O
0.324 0.912 0.880 O
0.330 0.527 0.863 O
0.417 0.879 0.610 O
0.421 0.403 0.598 O
0.571 0.601 0.377 O
0.575 0.070 0.384 O
0.678 0.574 0.114 O
0.682 0.957 0.121 O
0.701 0.297 0.238 O
0.719 0.687 0.874 O
0.964 0.905 0.661 O
0.965 0.408 0.654 O
0.191 0.287 0.106 F
0.802 0.223 0.879 F
```

Output
density of states at the Fermi level	0.42	states/eV per atom
theoretical density	2.9	Mg/m³



entry x wins, 10 meV per atom ahead of the next structure.



Entry w
The following is a DFT calculation (PBE) of Ca2NbF after structural relaxation.

Structure (POSCAR):
```
Ca2NbF
1.0
-3.515 3.515 4.035
3.515 -3.515 4.035
3.515 3.515 -4.035
Ca Nb F
4 2 2
direct
0.017 0.125 0.392 Ca
0.375 0.983 0.108 Ca
0.733 0.625 0.608 Ca
0.875 0.267 0.892 Ca
0.250 0.750 0.500 Nb
0.500 0.500 0.000 Nb
0.000 0.000 0.000 F
0.750 0.250 0.500 F
```

Output
density of states at the Fermi level	0.72	states/eV per atom
theoretical density	3.2	Mg/m³



Entry x
The following is a DFT calculation (PBE) of Ca2NbF after structural relaxation.

Structure (POSCAR):
```
Ca2NbF
1.0
0.000 3.788 3.788
3.788 0.000 3.788
3.788 3.788 0.000
Ca Nb F
2 1 1
direct
0.250 0.250 0.250 Ca
0.750 0.750 0.750 Ca
0.000 0.000 0.000 Nb
0.500 0.500 0.500 F
```

Output
density of states at the Fermi level	0.71	states/eV per atom
theoretical density	2.9	Mg/m³



entry w wins, 656 meV per atom ahead of the next structure.



Entry w
The following is a DFT calculation (PBE) of Ca3NbF after structural relaxation.

Structure (POSCAR):
```
Ca3NbF
1.0
5.019 0.000 0.000
0.000 5.019 0.000
0.000 0.000 5.019
Ca Nb F
3 1 1
direct
0.000 0.000 0.500 Ca
0.000 0.500 0.000 Ca
0.500 0.000 0.000 Ca
0.500 0.500 0.500 Nb
0.000 0.000 0.000 F
```

Output
density of states at the Fermi level	0.34	states/eV per atom
theoretical density	3.0	Mg/m³



Entry x
The following is a DFT calculation (PBE) of Ca3NbF after structural relaxation.

Structure (POSCAR):
```
Ca3NbF
1.0
5.650 0.000 0.000
0.000 5.650 0.000
0.000 0.000 5.650
Ca Nb F
3 1 1
direct
0.000 0.000 0.500 Ca
0.000 0.500 0.000 Ca
0.500 0.000 0.000 Ca
0.000 0.000 0.000 Nb
0.500 0.500 0.500 F
```

Output
density of states at the Fermi level	2.15	states/eV per atom
theoretical density	2.1	Mg/m³



entry w wins, 1106 meV per atom ahead of the next structure.